1.
Computed, not measured: a relaxed structure of Nd7Y2Ho2 at the PBE-GGA level of DFT.

Its crystal system is monoclinic. Its total magnetization is 0.0 μB per cell. The calculation puts the formation energy from the elements at 0.1435 eV/atom.

The structure belongs to space group C2/m (No. 12); the cell edges are 11.677, 11.447 and 6.111 Å and the angles 90.00°, 112.11° and 90.00°. The distinct sites, in fractional coordinates, are Nd at (0.000, 0.000, 0.000), Nd at (0.182, 0.228, 0.176), Nd at (0.234, 0.000, 0.601), Y at (0.000, 0.218, 0.500) and Ho at (0.078, 0.500, 0.799).

2.
Computed, not measured: a relaxed structure of Nd2YHo6 at the PBE-GGA level of DFT.

Its crystal system is monoclinic. Its total magnetization is 0.0 μB per cell. The calculation puts the formation energy from the elements at 0.0712 eV/atom.

The structure belongs to space group C2/m (No. 12); the cell edges are 16.925, 9.763 and 3.482 Å and the angles 90.00°, 90.05° and 90.00°. The distinct sites, in fractional coordinates, are Nd at (0.167, 0.000, 0.000), Y at (0.000, 0.500, 0.000), Ho at (0.000, 0.168, 0.500) and Ho at (0.166, 0.334, 0.501).

3.
Computed, not measured: a relaxed structure of NdY8Ho2 at the PBE-GGA level of DFT.

Its crystal system is monoclinic. Its total magnetization is 0.0 μB per cell. The calculation puts the formation energy from the elements at 0.1455 eV/atom.

The structure belongs to space group C2/m (No. 12); the cell edges are 19.199, 6.977 and 5.568 Å and the angles 90.00°, 92.92° and 90.00°. The distinct sites, in fractional coordinates, are Nd at (0.000, 0.000, 0.000), Y at (0.047, 0.500, 0.237), Y at (0.134, 0.266, 0.731), Y at (0.189, 0.000, 0.233) and Ho at (0.216, 0.500, 0.249).

4.
Computed, not measured: a relaxed structure of Nd14YHo at the PBE-GGA level of DFT.

Its crystal system is tetragonal. Its total magnetization is 0.0 μB per cell. The calculation puts the formation energy from the elements at 0.0135 eV/atom.

The structure belongs to space group P4/mmm (No. 123); the cell edges are 7.334, 7.334 and 10.357 Å and the angles 90.00°, 90.00° and 90.00°. The distinct sites, in fractional coordinates, are Nd at (0.000, 0.000, 0.000), Nd at (0.000, 0.500, 0.000), Nd at (0.000, 0.500, 0.500), Nd at (0.250, 0.250, 0.252), Nd at (0.500, 0.500, 0.000), Y at (0.000, 0.000, 0.500) and Ho at (0.500, 0.500, 0.500).